Below is crystalline SrOsRh at its relaxed geometry, with properties calculated at the PBE-GGA level.

Geometry as POSCAR:
```
SrOsRh
1.0
-4.562 -0.220 -0.437
-1.861 -2.321 -3.493
-2.192 -3.954 0.782
Os Sr Rh
1 1 1
Direct
0.500 0.500 0.500
0.000 0.000 0.000
0.250 0.250 0.250
```

Summary:
DOS at the Fermi energy	4.47	states/eV/cell
SG	F-43m, No. 216
E_form	0.972	eV per atom
energy above the lowest structure with this stoichiometry	642	meV/atom

---

Below is crystalline AcPb2Se3 at its relaxed geometry, with properties calculated at the PBE-GGA level.

Geometry as POSCAR:
```
AcPb2Se3
1.0
6.250 0.000 0.000
0.000 8.658 -1.569
0.000 -3.714 7.977
Pb Se Ac
4 6 2
Direct
0.500 0.267 0.267
0.500 0.733 0.733
0.000 0.733 0.733
0.000 0.267 0.267
0.250 0.457 0.119
0.750 0.119 0.457
0.750 0.543 0.881
0.750 0.079 0.921
0.250 0.921 0.079
0.250 0.881 0.543
0.250 0.286 0.714
0.750 0.714 0.286
```

Summary:
DOS at the Fermi energy	2.37	states/eV/cell
SG	Cmcm, No. 63
E_form (uncorrected)	-0.73	eV/atom

---

Below is crystalline Tc2AgTe at its relaxed geometry, with properties calculated at the PBE-GGA level.

Geometry as POSCAR:
```
Tc2AgTe
1.0
-0.495 0.331 -2.946
-1.788 -1.946 1.431
-5.747 6.530 1.698
Tc Te Ag
2 1 1
Direct
0.000 0.000 0.017
0.000 0.000 0.483
0.500 0.500 0.250
0.500 0.500 0.750
```

Summary:
DOS at the Fermi energy	4.63	states/eV/cell
SG	Cmmm, No. 65
E_form (uncorrected)	0.93	eV/atom

---

Below is crystalline PmFeCoGe3 at its relaxed geometry, with properties calculated at the PBE-GGA level.

Geometry as POSCAR:
```
PmFeCoGe3
1.0
-5.082 1.005 -2.589
-3.375 -2.693 5.579
1.505 6.288 -0.515
Fe Ge Pm Co
2 6 2 2
Direct
0.750 0.951 0.901
0.250 0.049 0.099
0.750 0.748 0.496
0.000 0.251 0.000
0.250 0.252 0.504
0.500 0.749 0.000
0.000 0.749 0.000
0.500 0.251 0.000
0.750 0.252 0.503
0.250 0.748 0.497
0.750 0.547 0.093
0.250 0.453 0.907
```

Summary:
DOS at the Fermi energy	6.03	states/eV/cell
SG	Cmcm, No. 63
E_form	-0.245	eV per atom

---

Below is crystalline Ba2Na at its relaxed geometry, with properties calculated at the PBE-GGA level.

Geometry as POSCAR:
```
Ba2Na
1.0
-7.203 -2.345 3.053
-0.478 -6.694 4.653
-1.461 0.688 8.006
Na Ba
2 4
Direct
0.000 0.000 0.000
0.250 0.250 0.250
0.625 0.625 0.625
0.125 0.625 0.625
0.625 0.125 0.625
0.625 0.625 0.125
```

Summary:
DOS at the Fermi energy	12.37	states/eV/cell
SG	Fd-3m, No. 227
E_form	0.267	eV per atom
energy above the lowest structure with this stoichiometry	249	meV/atom

---

Below is crystalline KLiI3 at its relaxed geometry, with properties calculated at the PBE-GGA level.

Geometry as POSCAR:
```
KLiI3
1.0
6.574 0.000 0.000
0.000 6.574 0.000
0.000 0.000 6.574
I Li K
3 1 1
Direct
0.500 0.000 0.000
0.000 0.000 0.500
0.000 0.500 0.000
0.500 0.500 0.500
0.000 0.000 0.000
```

Summary:
DOS at the Fermi energy	12.08	states/eV/cell
SG	Pm-3m, No. 221
E_form (uncorrected)	-0.48	eV/atom
energy above the lowest structure with this stoichiometry	555	meV/atom

---

Below is crystalline Mg3Mn at its relaxed geometry, with properties calculated at the PBE-GGA level.

Geometry as POSCAR:
```
Mg3Mn
1.0
3.425 0.000 0.000
0.000 3.340 0.562
0.000 2.227 7.260
Mg Mn
3 1
Direct
0.500 0.750 0.750
0.000 0.972 0.028
0.000 0.528 0.472
0.500 0.250 0.250
```

Summary:
DOS at the Fermi energy	1.75	states/eV/cell
SG	P2/m, No. 10
E_form	0.165	eV per atom

---

Below is crystalline Cs2RbSnAu at its relaxed geometry, with properties calculated at the PBE-GGA level.

Geometry as POSCAR:
```
Cs2RbSnAu
1.0
-1.158 1.043 6.862
3.797 -5.729 1.511
4.513 3.069 0.295
Cs Au Rb Sn
2 1 1 1
Direct
0.500 0.000 0.000
0.000 0.500 0.000
0.000 0.000 0.000
0.500 0.500 0.500
0.000 0.000 0.500
```

Summary:
DOS at the Fermi energy	4.39	states/eV/cell
SG	P4/mmm, No. 123
E_form	-0.096	eV per atom
energy above the lowest structure with this stoichiometry	0	meV/atom

---

Below is crystalline Zr3CuSb at its relaxed geometry, with properties calculated at the PBE-GGA level.

Geometry as POSCAR:
```
Zr3CuSb
1.0
4.901 0.000 0.000
0.000 4.901 0.000
0.000 0.000 4.901
Zr Cu Sb
3 1 1
Direct
0.000 0.500 0.000
0.500 0.000 0.000
0.000 0.000 0.500
0.000 0.000 0.000
0.500 0.500 0.500
```

Summary:
DOS at the Fermi energy	4.82	states/eV/cell
SG	Pm-3m, No. 221
E_form (uncorrected)	0.14	eV/atom
energy above the lowest structure with this stoichiometry	0	meV/atom

---

Below is crystalline PmPr2Cd3 at its relaxed geometry, with properties calculated at the PBE-GGA level.

Geometry as POSCAR:
```
PmPr2Cd3
1.0
3.858 0.000 0.000
0.000 3.858 0.000
0.000 0.000 11.665
Cd Pr Pm
3 2 1
Direct
0.000 0.000 0.339
0.000 0.000 0.661
0.000 0.000 0.000
0.500 0.500 0.169
0.500 0.500 0.831
0.500 0.500 0.500
```

Summary:
DOS at the Fermi energy	7.51	states/eV/cell
SG	P4/mmm, No. 123
E_form	-0.317	eV per atom
energy above the lowest structure with this stoichiometry	3	meV/atom

---

Below is crystalline PrUAs2 at its relaxed geometry, with properties calculated at the PBE-GGA level.

Geometry as POSCAR:
```
PrUAs2
1.0
-0.359 1.861 3.643
-3.670 1.333 1.272
-2.580 -5.360 4.798
As U Pr
2 1 1
Direct
0.078 0.078 0.767
0.256 0.256 0.231
0.669 0.669 0.992
0.497 0.497 0.510
```

Summary:
DOS at the Fermi energy	5.74	states/eV/cell
SG	R3m, No. 160
E_form	-0.969	eV per atom
energy above the lowest structure with this stoichiometry	145	meV/atom

---

Below is crystalline MnCoNi at its relaxed geometry, with properties calculated at the PBE-GGA level.

Geometry as POSCAR:
```
MnCoNi
1.0
0.005 -2.668 3.961
1.813 -1.338 -0.903
3.802 1.524 5.374
Ni Mn Co
2 2 2
Direct
0.755 0.250 0.664
0.245 0.750 0.336
0.252 0.750 0.975
0.748 0.250 0.025
0.259 0.250 0.653
0.741 0.750 0.347
```

Summary:
DOS at the Fermi energy	10.00	states/eV/cell
SG	P2_1/m, No. 11
E_form	0.204	eV per atom
energy above the lowest structure with this stoichiometry	160	meV/atom

---

- The highest DOS at the Fermi energy belongs to which entry?
  Ba2Na